Entry 1:
Entry from the Alexandria database: crystalline La2NpTe4 at its relaxed geometry (GGA-PBE).

a = 7.853 Å, b = 7.853 Å, c = 15.282 Å
α = 90.00°, β = 90.00°, γ = 147.36°
Sites, in units of the cell vectors:
La (0.134, 0.866, 0.570)
La (0.134, 0.866, 0.930)
La (0.866, 0.134, 0.070)
La (0.866, 0.134, 0.430)
Np (0.376, 0.624, 0.750)
Np (0.624, 0.376, 0.250)
Te (0.027, 0.973, 0.750)
Te (0.221, 0.779, 0.127)
Te (0.221, 0.779, 0.373)
Te (0.500, 0.500, 0.000)
Te (0.500, 0.500, 0.500)
Te (0.779, 0.221, 0.627)
Te (0.779, 0.221, 0.873)
Te (0.973, 0.027, 0.250)

Summary:
Raw formation energy   -1.209 eV/atom
Fermi-level density of states   1.536 states/eV/atom
E_tot   -6.260 eV per atom
Crystal system   orthorhombic

***

Entry 2:
Entry from the Alexandria database: crystalline LaNp2Tl3Te6 at its relaxed geometry (GGA-PBE).

a = 7.890 Å, b = 7.890 Å, c = 8.573 Å
α = 98.82°, β = 98.82°, γ = 119.99°
Sites, in units of the cell vectors:
La (0.000, 0.000, 0.000)
Np (0.333, 0.667, 0.000)
Np (0.667, 0.333, 0.000)
Tl (0.165, 0.835, 0.500)
Tl (0.500, 0.500, 0.500)
Tl (0.835, 0.165, 0.500)
Te (0.073, 0.415, 0.218)
Te (0.271, 0.271, 0.785)
Te (0.415, 0.073, 0.218)
Te (0.585, 0.927, 0.782)
Te (0.729, 0.729, 0.215)
Te (0.927, 0.585, 0.782)

Summary:
Raw formation energy   -0.751 eV/atom
Fermi-level density of states   1.597 states/eV/atom
E_tot   -5.481 eV per atom
Crystal system   monoclinic

***

Entry 3:
Entry from the Alexandria database: crystalline La2NpTl3Te6 at its relaxed geometry (GGA-PBE).

a = 8.007 Å, b = 8.007 Å, c = 8.547 Å
α = 98.98°, β = 98.98°, γ = 119.99°
Sites, in units of the cell vectors:
La (0.167, 0.833, 0.000)
La (0.833, 0.167, 0.000)
Np (0.500, 0.500, 0.000)
Tl (0.000, 0.000, 0.500)
Tl (0.333, 0.667, 0.500)
Tl (0.667, 0.333, 0.500)
Te (0.101, 0.427, 0.781)
Te (0.248, 0.248, 0.221)
Te (0.427, 0.101, 0.781)
Te (0.573, 0.899, 0.219)
Te (0.752, 0.752, 0.779)
Te (0.899, 0.573, 0.219)

Summary:
Raw formation energy   -0.950 eV/atom
Fermi-level density of states   0.411 states/eV/atom
E_tot   -5.012 eV per atom
Crystal system   monoclinic

***

Entry 4:
Entry from the Alexandria database: crystalline LaTh2Np at its relaxed geometry (GGA-PBE).

a = 10.727 Å, b = 10.727 Å, c = 10.727 Å
α = 20.23°, β = 20.23°, γ = 20.23°
Sites, in units of the cell vectors:
La (0.000, 0.000, 0.000)
Th (0.113, 0.113, 0.113)
Th (0.887, 0.887, 0.887)
Np (0.500, 0.500, 0.500)

Summary:
DFT formation energy   0.8583 eV/atom
Fermi-level density of states   2.438 states/eV/atom
E_tot   -7.319 eV per atom
Crystal system   trigonal

***

Entry 5:
Entry from the Alexandria database: crystalline LaNpZn4 at its relaxed geometry (GGA-PBE).

a = 5.553 Å, b = 5.553 Å, c = 5.553 Å
α = 60.00°, β = 60.00°, γ = 60.00°
Sites, in units of the cell vectors:
La (0.000, 0.000, 0.000)
Np (0.750, 0.750, 0.750)
Zn (0.375, 0.375, 0.375)
Zn (0.375, 0.375, 0.874)
Zn (0.375, 0.874, 0.375)
Zn (0.874, 0.375, 0.375)

Summary:
DFT formation energy   -0.0524 eV/atom
Fermi-level density of states   1.722 states/eV/atom
E_tot   -3.880 eV per atom
Crystal system   cubic

***

Entry 6:
Entry from the Alexandria database: crystalline La2O at its relaxed geometry (GGA-PBE).

a = 3.687 Å, b = 3.687 Å, c = 5.109 Å
α = 90.00°, β = 90.00°, γ = 90.00°
Sites, in units of the cell vectors:
La (0.000, 0.000, 0.000)
La (0.500, 0.500, 0.500)
O (0.000, 0.000, 0.500)

Summary:
Raw formation energy   -1.871 eV/atom
Fermi-level density of states   1.135 states/eV/atom
E_tot   -6.809 eV per atom
Crystal system   tetragonal

***

Entry 7:
Entry from the Alexandria database: crystalline LaO2 at its relaxed geometry (GGA-PBE).

a = 6.687 Å, b = 6.687 Å, c = 6.687 Å
α = 147.48°, β = 141.13°, γ = 51.55°
Sites, in units of the cell vectors:
La (0.149, 0.149, 0.000)
La (0.851, 0.851, 0.000)
O (0.170, 0.500, 0.670)
O (0.270, 0.770, 0.500)
O (0.730, 0.230, 0.500)
O (0.830, 0.500, 0.330)

Summary:
Raw formation energy   -2.865 eV/atom
Fermi-level density of states   0.000 states/eV/atom
E_tot   -7.813 eV per atom
Crystal system   orthorhombic

***

Entry 8:
Entry from the Alexandria database: crystalline LaO4 at its relaxed geometry (GGA-PBE).

a = 4.692 Å, b = 4.692 Å, c = 4.692 Å
α = 90.00°, β = 90.00°, γ = 90.00°
Sites, in units of the cell vectors:
La (0.000, 0.000, 0.000)
O (0.000, 0.000, 0.500)
O (0.000, 0.500, 0.000)
O (0.500, 0.000, 0.000)
O (0.500, 0.500, 0.500)

Summary:
Raw formation energy   -0.353 eV/atom
Fermi-level density of states   1.373 states/eV/atom
E_tot   -5.305 eV per atom
Crystal system   cubic